# 1
VASP calculation (PBE) on a relaxed structure of Tb2Pm3ThN6.

Results
SG   C2/m
Raw formation energy   -18.77 eV per formula unit

POSCAR file:
```
Tb2Pm3ThN6
1.0
-4.309 3.858 -2.252
3.108 -3.758 -3.839
-3.689 -4.169 2.767
N Pm Tb Th
6 3 2 1
direct
0.919 0.587 0.758
0.081 0.413 0.242
0.413 0.081 0.242
0.252 0.252 0.760
0.587 0.919 0.758
0.748 0.748 0.240
0.169 0.831 0.500
0.831 0.169 0.500
0.500 0.500 0.500
0.666 0.334 0.000
0.334 0.666 0.000
0.000 0.000 0.000
```

# 2
VASP calculation (PBE) on a relaxed structure of PrIn5Hg8.

Results
SG   C2
Energy of formation from the pure elements   -94 kJ/mol of formula units

POSCAR file:
```
PrIn5Hg8
1.0
7.517 0.612 -2.295
-3.980 6.408 -2.290
-0.305 -0.599 7.879
Pr Hg In
1 8 5
direct
0.250 0.750 0.500
0.649 0.884 0.923
0.635 0.892 0.409
0.116 0.040 0.764
0.774 0.364 0.257
0.275 0.351 0.236
0.108 0.517 0.743
0.961 0.725 0.077
0.483 0.226 0.591
0.021 0.125 0.392
0.371 0.978 0.103
0.733 0.629 0.608
0.875 0.268 0.897
0.500 0.500 0.000
```

| no. | magnetic moment (μB/cell) | V (Å³/cell) |
| --- | --- | --- |
| 1 | 0.00 | 195.65 |
| 2 | 0.00 | 378.84 |